No. 1
Y2SbMo: single point on PBEsol structure, SCAN.

Summary:
Calculated volume = 24.67 A^3/atom
Uncorrected energy = -31.85 eV/atom
Size of the total moment = 1.05 μB/f.u.
Energy relative to the elements, uncorrected = 0.4 eV/f.u.

Cell: 3.4642 3.4642 9.7030 Å, 79.72 79.72 60.00°
With the nearest neighbours (Å) after each atom.
Element x y z (fractional)
Mo: 0.4921 0.4921 0.5237  3 Sb 2.70, 3 Y 2.99
Sb: 0.7620 0.7620 0.7141  3 Mo 2.70
Y: 0.0091 0.0091 0.9728  3 Sb 3.17, 6 Y 3.46
Y: 0.2369 0.2369 0.2894  3 Mo 2.99

***

No. 2
GaAs2PdSe: single point on PBEsol structure, SCAN.

Summary:
Energy above the most stable polymorph in this dataset = 0.0 meV/atom
Calculated volume = 23.35 A^3/atom
Uncorrected energy = -21.41 eV/atom
Size of the total moment = 1.30 μB/f.u.
Energy relative to the elements, uncorrected = 2.5 eV/f.u.

Cell: 4.7554 4.7554 5.1634 Å, 90.00 90.00 90.00°
With the nearest neighbours (Å) after each atom.
Element x y z (fractional)
Se: 0.0000 0.0000 0.5000  2 Pd 2.58
Pd: 0.0000 0.0000 0.0000  4 As 2.38, 2 Se 2.58
Ga: 0.5000 0.5000 0.5000  4 Se 3.36, 8 As 3.51
As: 0.0000 0.5000 0.0000  2 Pd 2.38
As: 0.5000 0.0000 0.0000  2 Pd 2.38

***

No. 3
Ta3TcSb: single point on PBEsol structure, SCAN.

Summary:
Calculated volume = 21.71 A^3/atom
Uncorrected energy = -53.41 eV/atom
Size of the total moment = 0.00 μB/f.u.
Energy relative to the elements, uncorrected = 5.0 eV/f.u.

Cell: 4.7702 4.7702 4.7702 Å, 90.00 90.00 90.00°
With the nearest neighbours (Å) after each atom.
Element x y z (fractional)
Ta: 0.0000 0.0000 0.5000  2 Tc 2.39
Ta: 0.5000 0.0000 0.0000  2 Tc 2.39
Sb: 0.5000 0.5000 0.5000  12 Ta 3.37
Tc: 0.0000 0.0000 0.0000  6 Ta 2.39
Ta: 0.0000 0.5000 0.0000  2 Tc 2.39

***

No. 4
Tl2RhCl2: single point on PBEsol structure, SCAN.

Summary:
Calculated volume = 22.41 A^3/atom
Uncorrected energy = -38.57 eV/atom
Size of the total moment = 0.50 μB/f.u.
Energy relative to the elements, uncorrected = 1.6 eV/f.u.

Cell: 3.5889 3.5889 9.0606 Å, 101.42 101.42 90.00°
With the nearest neighbours (Å) after each atom.
Element x y z (fractional)
Tl: 0.5863 0.5863 0.1727  4 Rh 2.95, 1 Tl 3.00
Rh: 0.0000 0.0000 0.0000  8 Tl 2.95
Cl: 0.2500 0.7500 0.5000  4 Cl 2.54
Cl: 0.7500 0.2500 0.5000  4 Cl 2.54
Tl: 0.4137 0.4137 0.8273  4 Rh 2.95, 1 Tl 3.00

***

No. 5
SrBNO2: single point on PBEsol structure, SCAN.

Summary:
Calculated volume = 20.48 A^3/atom
Uncorrected energy = -8.92 eV/atom
Size of the total moment = 4.00 μB/f.u.
Energy relative to the elements, uncorrected = 6.8 eV/f.u.

Cell: 4.5748 4.5748 4.8926 Å, 90.00 90.00 90.00°
With the nearest neighbours (Å) after each atom.
Element x y z (fractional)
O: 0.5000 0.0000 0.0000  2 Sr 2.29
N: 0.0000 0.0000 0.5000  2 Sr 2.45
B: 0.5000 0.5000 0.5000  4 N 3.23, 8 O 3.35
Sr: 0.0000 0.0000 0.0000  4 O 2.29, 2 N 2.45
O: 0.0000 0.5000 0.0000  2 Sr 2.29

***

No. 6
Rb3AsSe4: single point on PBEsol structure, SCAN.

Summary:
Calculated volume = 33.73 A^3/atom
Uncorrected energy = -21.32 eV/atom
Size of the total moment = 0.00 μB/f.u.
Energy relative to the elements, uncorrected = -7.8 eV/f.u.

Cell: 9.5037 10.1169 11.2246 Å, 90.00 90.00 90.00°
With the nearest neighbours (Å) after each atom.
Element x y z (fractional)
Rb: 0.0590 0.1908 0.0432  7 Se 3.36-3.74
Se: 0.3638 0.0248 0.5750  1 As 2.36
Se: 0.1362 0.5248 0.4250  1 As 2.36
As: 0.2376 0.9727 0.7500  4 Se 2.33-2.36
Se: 0.8121 0.2530 0.2500  1 As 2.33
Se: 0.1879 0.7470 0.7500  1 As 2.33
Se: 0.6362 0.9752 0.0750  1 As 2.36
Rb: 0.1550 0.4156 0.7500  5 Se 3.37-3.54
Rb: 0.5590 0.3092 0.4568  7 Se 3.36-3.74
Se: 0.6362 0.9752 0.4250  1 As 2.36
Rb: 0.9410 0.8092 0.9568  7 Se 3.36-3.74
Rb: 0.4410 0.6908 0.9568  7 Se 3.36-3.74
Rb: 0.8450 0.5844 0.2500  5 Se 3.37-3.54
As: 0.7624 0.0273 0.2500  4 Se 2.33-2.36
Se: 0.8638 0.4752 0.9250  1 As 2.36
Rb: 0.9410 0.8092 0.5432  7 Se 3.36-3.74
Se: 0.1362 0.5248 0.0750  1 As 2.36
As: 0.2624 0.4727 0.2500  4 Se 2.33-2.36
Rb: 0.6550 0.0844 0.7500  5 Se 3.37-3.54
Rb: 0.0590 0.1908 0.4568  7 Se 3.36-3.74
Se: 0.8638 0.4752 0.5750  1 As 2.36
Se: 0.5221 0.4117 0.7500  1 As 2.36
Rb: 0.3450 0.9156 0.2500  5 Se 3.37-3.54
Rb: 0.5590 0.3092 0.0432  7 Se 3.36-3.74
Rb: 0.4410 0.6908 0.5432  7 Se 3.36-3.74
As: 0.7376 0.5273 0.7500  4 Se 2.33-2.36
Se: 0.6879 0.7530 0.7500  1 As 2.33
Se: 0.3638 0.0248 0.9250  1 As 2.36
Se: 0.4779 0.5883 0.2500  1 As 2.36
Se: 0.9779 0.9117 0.2500  1 As 2.36
Se: 0.3121 0.2470 0.2500  1 As 2.33
Se: 0.0221 0.0883 0.7500  1 As 2.36

***

No. 7
CdSiPt2: single point on PBEsol structure, SCAN.

Summary:
Calculated volume = 16.60 A^3/atom
Uncorrected energy = -45.69 eV/atom
Size of the total moment = 0.00 μB/f.u.
Energy relative to the elements, uncorrected = -1.9 eV/f.u.

Cell: 2.8246 3.7076 6.9861 Å, 100.12 90.00 112.39°
With the nearest neighbours (Å) after each atom.
Element x y z (fractional)
Cd: 0.5000 0.0000 0.0000  2 Cd 2.82, 6 Pt 2.84-2.92
Pt: 0.2555 0.5109 0.3001  3 Si 2.42-2.44
Pt: 0.7445 0.4891 0.6999  3 Si 2.42-2.44
Si: 0.0000 0.0000 0.5000  6 Pt 2.42-2.44

***

No. 8
Li2SbPb: single point on PBEsol structure, SCAN.

Summary:
Energy above the most stable polymorph in this dataset = 21.5 meV/atom
Calculated volume = 21.22 A^3/atom
Uncorrected energy = -29.86 eV/atom
Size of the total moment = 0.00 μB/f.u.
Energy relative to the elements, uncorrected = -1.6 eV/f.u.

Cell: 4.9327 4.9327 4.9327 Å, 60.00 60.00 60.00°
With the nearest neighbours (Å) after each atom.
Element x y z (fractional)
Pb: 0.0000 0.0000 0.0000  8 Li 3.02
Li: 0.2500 0.2500 0.2500  4 Pb 3.02, 4 Sb 3.02
Sb: 0.5000 0.5000 0.5000  8 Li 3.02
Li: 0.7500 0.7500 0.7500  4 Pb 3.02, 4 Sb 3.02

***

No. 9
BaMnTe2: single point on PBEsol structure, SCAN.

Summary:
Calculated volume = 30.63 A^3/atom
Uncorrected energy = -33.89 eV/atom
Size of the total moment = 5.00 μB/f.u.
Energy relative to the elements, uncorrected = -3.3 eV/f.u.

Cell: 3.9821 3.9821 8.1280 Å, 90.00 90.00 108.06°
With the nearest neighbours (Å) after each atom.
Element x y z (fractional)
Te: 0.0000 0.0000 0.2135  2 Mn 2.91
Mn: 0.5000 0.5000 0.0000  4 Te 2.91
Ba: 0.5000 0.5000 0.5000  4 Te 3.30
Te: 0.0000 0.0000 0.7865  2 Mn 2.91

***

No. 10
ZnOs3: single point on PBEsol structure, SCAN.

Summary:
Formation energy = 0.02 eV/atom
Calculated volume = 13.89 A^3/atom
Uncorrected energy = -57.27 eV/atom
Size of the total moment = 0.00 μB/f.u.

Cell: 2.7300 2.7300 8.6076 Å, 90.00 90.00 120.00°
With the nearest neighbours (Å) after each atom.
Element x y z (fractional)
Os: 0.3333 0.6667 0.2443  9 Os 2.63-2.73, 3 Zn 2.71
Os: 0.3333 0.6667 0.7557  9 Os 2.63-2.73, 3 Zn 2.71
Os: 0.0000 0.0000 0.0000  12 Os 2.63-2.73
Zn: 0.0000 0.0000 0.5000  6 Os 2.71, 6 Zn 2.73

***

No. 11
MnBrF3: single point on PBEsol structure, SCAN.

Summary:
Calculated volume = 13.25 A^3/atom
Uncorrected energy = -11.42 eV/atom
Size of the total moment = 5.69 μB/f.u.
Energy relative to the elements, uncorrected = -8.8 eV/f.u.

Cell: 4.0467 4.0467 4.0467 Å, 90.00 90.00 90.00°
With the nearest neighbours (Å) after each atom.
Element x y z (fractional)
F: 0.0000 0.0000 0.5000  2 Mn 2.02
F: 0.5000 0.0000 0.0000  2 Mn 2.02
Mn: 0.0000 0.0000 0.0000  6 F 2.02
F: 0.0000 0.5000 0.0000  2 Mn 2.02
Br: 0.5000 0.5000 0.5000  12 F 2.86

***

No. 12
MgNb2GaN: single point on PBEsol structure, SCAN.

Summary:
Calculated volume = 19.42 A^3/atom
Uncorrected energy = -16.88 eV/atom
Size of the total moment = 2.36 μB/f.u.
Energy relative to the elements, uncorrected = 12.5 eV/f.u.

Cell: 4.3195 4.7411 4.7411 Å, 90.00 90.00 90.00°
With the nearest neighbours (Å) after each atom.
Element x y z (fractional)
N: 0.5000 0.5000 0.5000  8 Nb 3.21, 4 Ga 3.35
Mg: 0.0000 0.0000 0.0000  2 Ga 2.16, 4 Nb 2.37
Nb: 0.0000 0.5000 0.0000  2 Mg 2.37
Nb: 0.0000 0.0000 0.5000  2 Mg 2.37
Ga: 0.5000 0.0000 0.0000  2 Mg 2.16